# 1
# PBE-GGA TaBeMo2, relaxed
# DOS(E_F) = 0.9694 states/eV per atom
# ΔE_f = -0.013 eV/f.u.
data_TaBeMo2
_chemical_formula_sum 'Ta1 Be1 Mo2'
_cell_length_a 3.225
_cell_length_b 3.225
_cell_length_c 5.727
_cell_angle_alpha 90.00
_cell_angle_beta 90.00
_cell_angle_gamma 90.00
_space_group_name_H-M_alt 'P 4/m m m'
_space_group_IT_number 123
_space_group_name_Hall '-P 4 2'
loop_
_atom_site_label
_atom_site_type_symbol
_atom_site_fract_x
_atom_site_fract_y
_atom_site_fract_z
_atom_site_occupancy
Ta1 Ta 0.000 0.000 0.000 1
Be1 Be 0.000 0.000 0.500 1
Mo1 Mo 0.500 0.500 0.286 1

***

# 2
# PBE-GGA TaBe2Mo, relaxed
# Energy relative to the lowest polymorph listed for this composition = 26.5 kJ/mol of atoms
# DOS(E_F) = 0.6958 states/eV per atom
# ΔE_f = 0.156 eV/f.u.
data_TaBe2Mo
_chemical_formula_sum 'Ta2 Be4 Mo2'
_cell_length_a 3.189
_cell_length_b 4.087
_cell_length_c 7.981
_cell_angle_alpha 90.00
_cell_angle_beta 90.00
_cell_angle_gamma 90.00
_space_group_name_H-M_alt 'I m m 2'
_space_group_IT_number 44
_space_group_name_Hall 'I 2 -2'
loop_
_atom_site_label
_atom_site_type_symbol
_atom_site_fract_x
_atom_site_fract_y
_atom_site_fract_z
_atom_site_occupancy
Ta1 Ta 0.000 0.000 0.000 1
Be1 Be 0.000 0.000 0.458 1
Be2 Be 0.000 0.500 0.770 1
Mo1 Mo 0.000 0.500 0.225 1

***

# 3
# PBE-GGA TaBe2Mo, relaxed
# Energy relative to the lowest polymorph listed for this composition = 56.4 kJ/mol of atoms
# DOS(E_F) = 0.6018 states/eV per atom
# ΔE_f = 1.394 eV/f.u.
data_TaBe2Mo
_chemical_formula_sum 'Ta1 Be2 Mo1'
_cell_length_a 2.634
_cell_length_b 4.076
_cell_length_c 5.115
_cell_angle_alpha 90.00
_cell_angle_beta 90.00
_cell_angle_gamma 90.00
_space_group_name_H-M_alt 'P m m 2'
_space_group_IT_number 25
_space_group_name_Hall 'P 2 -2'
loop_
_atom_site_label
_atom_site_type_symbol
_atom_site_fract_x
_atom_site_fract_y
_atom_site_fract_z
_atom_site_occupancy
Ta1 Ta 0.000 0.000 0.000 1
Be1 Be 0.000 0.000 0.499 1
Be2 Be 0.500 0.500 0.225 1
Mo1 Mo 0.500 0.500 0.713 1

***

# 4
# PBE-GGA TaBeTlMo2, relaxed
# DOS(E_F) = 0.8579 states/eV per atom
# ΔE_f = 10.278 eV/f.u.
data_TaBeTlMo2
_chemical_formula_sum 'Ta1 Be1 Tl1 Mo2'
_cell_length_a 5.028
_cell_length_b 5.028
_cell_length_c 4.043
_cell_angle_alpha 90.00
_cell_angle_beta 90.00
_cell_angle_gamma 90.00
_space_group_name_H-M_alt 'P 4/m m m'
_space_group_IT_number 123
_space_group_name_Hall '-P 4 2'
loop_
_atom_site_label
_atom_site_type_symbol
_atom_site_fract_x
_atom_site_fract_y
_atom_site_fract_z
_atom_site_occupancy
Ta1 Ta 0.000 0.000 0.000 1
Be1 Be 0.500 0.500 0.000 1
Tl1 Tl 0.500 0.500 0.500 1
Mo1 Mo 0.000 0.500 0.500 1

***

# 5
# PBE-GGA TaBeVMo2, relaxed
# DOS(E_F) = 1.8808 states/eV per atom
# ΔE_f = 9.476 eV/f.u.
data_TaBeVMo2
_chemical_formula_sum 'Ta1 Be1 V1 Mo2'
_cell_length_a 4.727
_cell_length_b 4.727
_cell_length_c 4.274
_cell_angle_alpha 90.00
_cell_angle_beta 90.00
_cell_angle_gamma 90.00
_space_group_name_H-M_alt 'P 4/m m m'
_space_group_IT_number 123
_space_group_name_Hall '-P 4 2'
loop_
_atom_site_label
_atom_site_type_symbol
_atom_site_fract_x
_atom_site_fract_y
_atom_site_fract_z
_atom_site_occupancy
Ta1 Ta 0.000 0.000 0.000 1
Be1 Be 0.000 0.000 0.500 1
V1 V 0.500 0.500 0.500 1
Mo1 Mo 0.000 0.500 0.000 1

***

# 6
# PBE-GGA TaBeV2Mo, relaxed
# DOS(E_F) = 0.7565 states/eV per atom
# ΔE_f = 2.850 eV/f.u.
data_TaBeV2Mo
_chemical_formula_sum 'Ta1 Be1 V2 Mo1'
_cell_length_a 4.062
_cell_length_b 4.062
_cell_length_c 4.465
_cell_angle_alpha 90.00
_cell_angle_beta 90.00
_cell_angle_gamma 90.00
_space_group_name_H-M_alt 'P 4/m m m'
_space_group_IT_number 123
_space_group_name_Hall '-P 4 2'
loop_
_atom_site_label
_atom_site_type_symbol
_atom_site_fract_x
_atom_site_fract_y
_atom_site_fract_z
_atom_site_occupancy
Ta1 Ta 0.000 0.000 0.000 1
Be1 Be 0.500 0.500 0.500 1
V1 V 0.000 0.500 0.500 1
Mo1 Mo 0.500 0.500 0.000 1

***

> Among the records above, which one has the highest DOS(E_F)?

TaBeVMo2

***

> Among the records above, which one has the highest ΔE_f?

TaBeTlMo2

***

> Look up the DOS(E_F) of the sixth one.

0.7565 states/eV per atom